[1]
Material: BaPmSb
Method: DFT, PBE
State: optimized geometry

It has space group P3m1 (No. 156), with a = 5.3249 Å, b = 5.3249 Å, c = 4.8347 Å, α = 90.00°, β = 90.00° and γ = 120.00°. The inequivalent atoms are Ba at (0.0000, 0.0000, 0.0000), Pm at (0.6667, 0.3333, 0.4990) and Sb at (0.3333, 0.6667, 0.5055).

The calculation puts the distance to the lowest polymorph of the same formula at 0 meV per atom. The total energy comes out at -12.50 eV per cell. The raw formation energy is -0.5692 eV per atom. The value obtained for the volume is 39.574 Å³ per atom.

[2]
Material: Cs4CeF7
Method: DFT, PBE
State: optimized geometry

It has space group C2/m (No. 12), with a = 14.844 Å, b = 4.732 Å, c = 11.626 Å, α = 90.00°, β = 123.01° and γ = 90.00°. The inequivalent atoms are Cs at (0.077, 0.000, 0.224), Cs at (0.222, 0.000, 0.840), Ce at (0.000, 0.500, 0.500), F at (0.000, 0.000, 0.500), F at (0.003, 0.500, 0.700), F at (0.139, 0.000, 0.020) and F at (0.183, 0.500, 0.633).

The total energy comes out at -119.58 eV per cell. The raw formation energy is -3.1118 eV per atom. The value obtained for the volume is 28.534 Å³ per atom.

[3]
Material: Be3CdI
Method: DFT, PBE
State: optimized geometry

It has space group Pm-3m (No. 221), with a = 4.694 Å, b = 4.694 Å, c = 4.694 Å, α = 90.00°, β = 90.00° and γ = 90.00°. The inequivalent atoms are Be at (0.000, 0.000, 0.500), Cd at (0.000, 0.000, 0.000) and I at (0.500, 0.500, 0.500).

The calculation puts the distance to the lowest polymorph of the same formula at 0 meV per atom. The total energy comes out at -8.27 eV per cell. The raw formation energy is 1.0749 eV per atom. The value obtained for the volume is 20.679 Å³ per atom.

[4]
Material: BaZr2Pt
Method: DFT, PBE
State: optimized geometry

It has space group C2/m (No. 12), with a = 6.198 Å, b = 11.308 Å, c = 3.219 Å, α = 90.00°, β = 119.32° and γ = 90.00°. The inequivalent atoms are Ba at (0.000, 0.000, 0.000), Zr at (0.250, 0.250, 0.500) and Pt at (0.000, 0.500, 0.000).

The value obtained for the formation energy is 0.26 eV per atom. The calculation puts the distance to the lowest polymorph of the same formula at 544 meV per atom. The total energy comes out at -48.06 eV per cell. The value obtained for the volume is 24.590 Å³ per atom.

[5]
Material: TeIr2Ru
Method: DFT, PBE
State: optimized geometry

It has space group Cmm2 (No. 35), with a = 2.838 Å, b = 5.003 Å, c = 9.508 Å, α = 90.00°, β = 90.00° and γ = 90.00°. The inequivalent atoms are Te at (0.000, 0.000, 0.000), Ir at (0.000, 0.000, 0.508), Ir at (0.000, 0.500, 0.267) and Ru at (0.000, 0.500, 0.741).

The total energy comes out at -54.08 eV per cell. The raw formation energy is 0.7754 eV per atom. The value obtained for the volume is 16.877 Å³ per atom.

[6]
Material: Sm5InPt2
Method: DFT, PBE
State: optimized geometry

It has space group I4/mcm (No. 140), with a = 8.022 Å, b = 8.022 Å, c = 13.706 Å, α = 90.00°, β = 90.00° and γ = 90.00°. The inequivalent atoms are Sm at (0.000, 0.000, 0.000), Sm at (0.160, 0.340, 0.138), In at (0.000, 0.000, 0.250) and Pt at (0.135, 0.365, 0.500).

The value obtained for the formation energy is -0.76 eV per atom. The total energy comes out at -177.94 eV per cell. The value obtained for the volume is 27.560 Å³ per atom.

[7]
Material: NbMo2S5
Method: DFT, PBE
State: optimized geometry

It has space group Fmmm (No. 69), with a = 4.508 Å, b = 12.968 Å, c = 13.104 Å, α = 90.00°, β = 90.00° and γ = 90.00°. The inequivalent atoms are Nb at (0.000, 0.000, 0.000), Mo at (0.000, 0.187, 0.500), S at (0.000, 0.000, 0.500) and S at (0.000, 0.166, 0.114).

The total energy comes out at -220.29 eV per cell. The raw formation energy is -0.3380 eV per atom. The value obtained for the volume is 23.937 Å³ per atom.

[8]
Material: Hf3Pa5
Method: DFT, PBE
State: optimized geometry

It has space group P4/mmm (No. 123), with a = 3.186 Å, b = 3.186 Å, c = 18.990 Å, α = 90.00°, β = 90.00° and γ = 90.00°. The inequivalent atoms are Hf at (0.000, 0.000, 0.000), Hf at (0.500, 0.500, 0.118), Pa at (0.000, 0.000, 0.242), Pa at (0.000, 0.000, 0.500) and Pa at (0.500, 0.500, 0.371).

The value obtained for the formation energy is 0.04 eV per atom. The total energy comes out at -77.02 eV per cell. The value obtained for the volume is 24.096 Å³ per atom.

[9]
Material: LaBeRh2Pb
Method: DFT, PBE
State: optimized geometry

It has space group P4/mmm (No. 123), with a = 5.113 Å, b = 5.113 Å, c = 4.445 Å, α = 90.00°, β = 90.00° and γ = 90.00°. The inequivalent atoms are La at (0.000, 0.000, 0.000), Be at (0.500, 0.500, 0.000), Rh at (0.000, 0.500, 0.500) and Pb at (0.500, 0.500, 0.500).

The value obtained for the formation energy is 0.44 eV per atom. The total energy comes out at -24.89 eV per cell. The value obtained for the volume is 23.242 Å³ per atom.

[10]
Material: Zr2CoOs2
Method: DFT, PBE
State: optimized geometry

It has space group I4/mmm (No. 139), with a = 4.419 Å, b = 4.419 Å, c = 10.791 Å, α = 90.00°, β = 90.00° and γ = 90.00°. The inequivalent atoms are Zr at (0.000, 0.500, 0.250), Co at (0.000, 0.000, 0.000) and Os at (0.000, 0.000, 0.388).

The value obtained for the formation energy is 0.67 eV per atom. The calculation puts the distance to the lowest polymorph of the same formula at 771 meV per atom. The total energy comes out at -86.62 eV per cell. The value obtained for the volume is 21.068 Å³ per atom.

[11]
Material: Cd3HgAu3
Method: DFT, PBE
State: optimized geometry

It has space group Pm-3n (No. 223), with a = 7.767 Å, b = 7.767 Å, c = 7.767 Å, α = 90.00°, β = 90.00° and γ = 90.00°. The inequivalent atoms are Cd at (0.000, 0.250, 0.500), Hg at (0.000, 0.000, 0.000) and Au at (0.000, 0.500, 0.250).

The value obtained for the formation energy is 0.21 eV per atom. The calculation puts the distance to the lowest polymorph of the same formula at 295 meV per atom. The total energy comes out at -22.84 eV per cell. The value obtained for the volume is 33.473 Å³ per atom.

[12]
Material: La3As4Au3
Method: DFT, PBE
State: optimized geometry

It has space group I-43d (No. 220), with a = 9.868 Å, b = 9.868 Å, c = 9.868 Å, α = 90.00°, β = 90.00° and γ = 90.00°. The inequivalent atoms are La at (0.000, 0.250, 0.875), As at (0.084, 0.416, 0.584) and Au at (0.000, 0.250, 0.375).

The value obtained for the formation energy is -0.93 eV per atom. The total energy comes out at -210.13 eV per cell. The value obtained for the volume is 24.024 Å³ per atom.